1.
Below is a relaxed La6Cd2Ir crystal, with properties calculated at the PBE-GGA level.

Cell: 7.3277 7.5856 11.0661 Å, 90.00 90.69 90.00°
Last column: nearest neighbours and their distance in Å.
Fractional coordinates of all 18 atoms:
La1 0.9047 0.0048 0.2513  1 Ir 2.83
La2 0.7996 0.6861 0.5408  1 Ir 2.84
La3 0.8113 0.7051 0.9602  1 Ir 2.80
La4 0.6887 0.2051 0.5398  1 Ir 2.80
La5 0.7004 0.1861 0.9592  1 Ir 2.84
La6 0.5953 0.5048 0.2487  1 Ir 2.83
La7 0.0953 0.9952 0.7487  1 Ir 2.83
La8 0.2004 0.3139 0.4592  1 Ir 2.84
La9 0.1887 0.2949 0.0398  1 Ir 2.80
La10 0.3113 0.7949 0.4602  1 Ir 2.80
La11 0.2996 0.8139 0.0408  1 Ir 2.84
La12 0.4047 0.4952 0.7513  1 Ir 2.83
Cd1 0.9592 0.4221 0.7552  7 La 3.31-3.68
Cd2 0.5408 0.9221 0.7448  7 La 3.31-3.68
Cd3 0.4592 0.0779 0.2552  7 La 3.31-3.68
Cd4 0.0408 0.5779 0.2448  7 La 3.31-3.68
Ir1 0.5000 0.5000 0.0000  6 La 2.80-2.84
Ir2 0.0000 0.0000 0.5000  6 La 2.80-2.84

Values from the calculation:
* crystal system: monoclinic
* energy of formation: -2.62 eV/f.u.
* excess energy over the best structure of this formula in the dataset: 2.0 kJ per mole of atoms
* symmetry: P2_1/c (14)

***

2.
Below is a relaxed LiLa2CdIr crystal, with properties calculated at the PBE-GGA level.

Cell: 4.3310 8.0465 8.1224 Å, 107.78 90.00 90.00°
Last column: nearest neighbours and their distance in Å.
Fractional coordinates of all 10 atoms:
Li1 0.2500 0.5667 0.6638  1 Ir 2.64, 2 Cd 2.83
Li2 0.7500 0.4333 0.3362  1 Ir 2.64, 2 Cd 2.83
La1 0.7500 0.8957 0.6663  2 Ir 2.88
La2 0.7500 0.7331 0.0384  3 Ir 2.88-3.00
La3 0.2500 0.1043 0.3337  2 Ir 2.88
La4 0.2500 0.2669 0.9616  3 Ir 2.88-3.00
Cd1 0.2500 0.6609 0.3387  3 Li 2.83-2.96
Cd2 0.7500 0.3391 0.6613  3 Li 2.83-2.96
Ir1 0.2500 0.8795 0.8945  1 Li 2.64, 4 La 2.88
Ir2 0.7500 0.1205 0.1055  1 Li 2.64, 4 La 2.88

Values from the calculation:
* crystal system: monoclinic
* energy of formation: -2.18 eV/f.u.
* excess energy over the best structure of this formula in the dataset: 0.0 kJ per mole of atoms
* symmetry: P2_1/m (11)

***

3.
Below is a relaxed LiLa2CdIr crystal, with properties calculated at the PBE-GGA level.

Cell: 5.4987 5.4987 5.3381 Å, 90.00 90.00 90.00°
Last column: nearest neighbours and their distance in Å.
Fractional coordinates of all 5 atoms:
Cd1 0.0000 0.0000 0.5000  2 Ir 2.67
Ir1 0.0000 0.0000 0.0000  2 Cd 2.67, 4 La 2.75
Li1 0.5000 0.5000 0.5000  8 La 3.83, 4 Cd 3.89
La1 0.0000 0.5000 0.0000  2 Ir 2.75
La2 0.5000 0.0000 0.0000  2 Ir 2.75

Values from the calculation:
* crystal system: tetragonal
* energy of formation: -1.38 eV/f.u.
* excess energy over the best structure of this formula in the dataset: 15.5 kJ per mole of atoms
* symmetry: P4/mmm (123)

***

4.
Below is a relaxed LiLa2CdIr crystal, with properties calculated at the PBE-GGA level.

Cell: 5.5174 5.5174 4.9787 Å, 90.00 90.00 90.00°
Last column: nearest neighbours and their distance in Å.
Fractional coordinates of all 5 atoms:
Cd1 0.5000 0.5000 0.5000  8 La 3.72, 4 Li 3.90
Ir1 0.0000 0.0000 0.0000  2 Li 2.49, 4 La 2.76
Li1 0.0000 0.0000 0.5000  2 Ir 2.49
La1 0.0000 0.5000 0.0000  2 Ir 2.76
La2 0.5000 0.0000 0.0000  2 Ir 2.76

Values from the calculation:
* crystal system: tetragonal
* energy of formation: -1.61 eV/f.u.
* excess energy over the best structure of this formula in the dataset: 11.0 kJ per mole of atoms
* symmetry: P4/mmm (123)

***

5.
Below is a relaxed La2CdIrN crystal, with properties calculated at the PBE-GGA level.

Cell: 5.3859 5.3859 3.8869 Å, 90.00 90.00 90.00°
Last column: nearest neighbours and their distance in Å.
Fractional coordinates of all 5 atoms:
Cd1 0.5000 0.5000 0.5000  8 La 3.32
N1 0.0000 0.0000 0.0000  2 Ir 1.94
Ir1 0.0000 0.0000 0.5000  2 N 1.94
La1 0.0000 0.5000 0.0000  2 N 2.69
La2 0.5000 0.0000 0.0000  2 N 2.69

Values from the calculation:
* crystal system: tetragonal
* formation energy (no corrections): -0.65 eV per atom
* symmetry: P4/mmm (123)

***

6.
Below is a relaxed NaLaCd2Ir crystal, with properties calculated at the PBE-GGA level.

Cell: 5.4039 5.4039 5.2659 Å, 90.00 90.00 90.00°
Last column: nearest neighbours and their distance in Å.
Fractional coordinates of all 5 atoms:
Cd1 0.0000 0.5000 0.0000  2 Ir 2.70
Cd2 0.5000 0.0000 0.0000  2 Ir 2.70
Ir1 0.0000 0.0000 0.0000  2 La 2.63, 4 Cd 2.70
Na1 0.5000 0.5000 0.5000  8 Cd 3.77, 4 La 3.82
La1 0.0000 0.0000 0.5000  2 Ir 2.63

Values from the calculation:
* crystal system: tetragonal
* energy of formation: -0.97 eV/f.u.
* symmetry: P4/mmm (123)

***

7.
Below is a relaxed LaNdCdIr crystal, with properties calculated at the PBE-GGA level.

Cell: 5.2509 5.2509 5.2509 Å, 60.00 60.00 60.00°
Last column: nearest neighbours and their distance in Å.
Fractional coordinates of all 4 atoms:
Cd1 0.7500 0.7500 0.7500  4 La 3.22, 4 Nd 3.22
Ir1 0.2500 0.2500 0.2500  4 Nd 3.22, 4 La 3.22
Nd1 0.5000 0.5000 0.5000  4 Cd 3.22, 4 Ir 3.22
La1 0.0000 0.0000 0.0000  4 Cd 3.22, 4 Ir 3.22

Values from the calculation:
* crystal system: cubic
* energy of formation: -1.65 eV/f.u.
* symmetry: F-43m (216)

***

8.
Below is a relaxed LaCd2IrO6 crystal, with properties calculated at the PBE-GGA level.

Cell: 5.7458 5.8357 8.2806 Å, 90.00 89.90 90.00°
Last column: nearest neighbours and their distance in Å.
Fractional coordinates of all 20 atoms:
La1 0.5000 0.0000 0.0000  6 O 2.33-2.46
La2 0.0000 0.5000 0.5000  6 O 2.33-2.46
Cd1 0.9990 0.9665 0.2629  4 O 2.28-2.33
Cd2 0.4990 0.5335 0.7629  4 O 2.28-2.33
Cd3 0.0010 0.0335 0.7371  4 O 2.28-2.33
Cd4 0.5010 0.4665 0.2371  4 O 2.28-2.33
Ir1 0.5000 0.0000 0.5000  6 O 1.97-2.00
Ir2 0.0000 0.5000 0.0000  6 O 1.97-2.00
O1 0.2953 0.6609 0.0433  1 Ir 1.97
O2 0.7953 0.8391 0.5433  1 Ir 1.97
O3 0.7047 0.3391 0.9567  1 Ir 1.97
O4 0.2047 0.1609 0.4567  1 Ir 1.97
O5 0.3467 0.7183 0.4189  1 Ir 1.98
O6 0.8467 0.7817 0.9189  1 Ir 1.98
O7 0.6533 0.2817 0.5811  1 Ir 1.98
O8 0.1533 0.2183 0.0811  1 Ir 1.98
O9 0.8868 0.5872 0.2206  1 Ir 2.00
O10 0.3868 0.9128 0.7206  1 Ir 2.00
O11 0.1132 0.4128 0.7794  1 Ir 2.00
O12 0.6132 0.0872 0.2794  1 Ir 2.00

Values from the calculation:
* crystal system: monoclinic
* formation energy (no corrections): -1.48 eV per atom
* symmetry: P2_1/c (14)

***

9.
Below is a relaxed La2CdIrPb crystal, with properties calculated at the PBE-GGA level.

Cell: 5.4935 5.4935 5.2505 Å, 90.00 90.00 90.00°
Last column: nearest neighbours and their distance in Å.
Fractional coordinates of all 5 atoms:
Pb1 0.5000 0.5000 0.5000  8 La 3.80, 4 Cd 3.88
Cd1 0.0000 0.0000 0.5000  2 Ir 2.63
Ir1 0.0000 0.0000 0.0000  2 Cd 2.63, 4 La 2.75
La1 0.0000 0.5000 0.0000  2 Ir 2.75
La2 0.5000 0.0000 0.0000  2 Ir 2.75

Values from the calculation:
* crystal system: tetragonal
* energy of formation: -2.33 eV/f.u.
* symmetry: P4/mmm (123)

***

10.
Below is a relaxed RbLaCd2Ir crystal, with properties calculated at the PBE-GGA level.

Cell: 5.5119 5.5119 5.2795 Å, 90.00 90.00 90.00°
Last column: nearest neighbours and their distance in Å.
Fractional coordinates of all 5 atoms:
Cd1 0.0000 0.5000 0.0000  2 Ir 2.76
Cd2 0.5000 0.0000 0.0000  2 Ir 2.76
Ir1 0.0000 0.0000 0.0000  2 La 2.64, 4 Cd 2.76
Rb1 0.5000 0.5000 0.5000  8 Cd 3.82, 4 La 3.90
La1 0.0000 0.0000 0.5000  2 Ir 2.64

Values from the calculation:
* crystal system: tetragonal
* energy of formation: -1.04 eV/f.u.
* symmetry: P4/mmm (123)

***

11.
Below is a relaxed La2CdSb4Ir3 crystal, with properties calculated at the PBE-GGA level.

Cell: 4.6262 4.6262 10.8863 Å, 90.00 90.00 90.00°
Last column: nearest neighbours and their distance in Å.
Fractional coordinates of all 10 atoms:
La1 0.5000 0.0000 0.2431  8 Sb 3.49-3.51, 6 Ir 3.55-3.63, 2 Cd 3.63
La2 0.0000 0.5000 0.7569  8 Sb 3.49-3.51, 6 Ir 3.55-3.63, 2 Cd 3.63
Cd1 0.5000 0.5000 0.5000  4 Sb 2.79
Sb1 0.5000 0.5000 0.0000  4 Ir 2.64
Sb2 0.0000 0.0000 0.0000  4 Ir 2.64
Sb3 0.5000 0.0000 0.6440  3 Ir 2.60-2.79, 2 Cd 2.79
Sb4 0.0000 0.5000 0.3560  3 Ir 2.60-2.79, 2 Cd 2.79
Ir1 0.0000 0.0000 0.5000  4 Sb 2.79
Ir2 0.5000 0.0000 0.8829  5 Sb 2.60-2.64
Ir3 0.0000 0.5000 0.1171  5 Sb 2.60-2.64

Values from the calculation:
* crystal system: tetragonal
* formation energy (no corrections): -0.59 eV per atom
* symmetry: P-4m2 (115)

***

12.
Below is a relaxed La2CdSbIr crystal, with properties calculated at the PBE-GGA level.

Cell: 5.4997 5.4997 5.1603 Å, 90.00 90.00 90.00°
Last column: nearest neighbours and their distance in Å.
Fractional coordinates of all 5 atoms:
Sb1 0.5000 0.5000 0.5000  8 La 3.77, 4 Cd 3.89
Ir1 0.0000 0.0000 0.0000  2 Cd 2.58, 4 La 2.75
Cd1 0.0000 0.0000 0.5000  2 Ir 2.58
La1 0.0000 0.5000 0.0000  2 Ir 2.75
La2 0.5000 0.0000 0.0000  2 Ir 2.75

Values from the calculation:
* crystal system: tetragonal
* formation energy (no corrections): -0.64 eV per atom
* symmetry: P4/mmm (123)

***

Number 1: electronic total energy -4.7637 eV/atom. Number 2: electronic total energy -4.7457 eV/atom. Number 3: electronic total energy -4.5849 eV/atom. Number 4: electronic total energy -4.6316 eV/atom. Number 5: electronic total energy -6.2385 eV/atom. Number 6: electronic total energy -3.5821 eV/atom. Number 7: electronic total energy -5.2814 eV/atom. Number 8: electronic total energy -6.0203 eV/atom. Number 9: electronic total energy -5.1336 eV/atom. Number 10: electronic total energy -3.5245 eV/atom. Number 11: electronic total energy -5.9765 eV/atom. Number 12: electronic total energy -5.3878 eV/atom.